Entry 1:
Below is a crystal of SrY2Br relaxed with PBEsol, with properties calculated at the meta-GGA SCAN level.

```
4
Lattice="3.5890 0.0000 0.0000 -1.7945 6.1162 0.0343 0.0000 -2.3922 6.0573" Properties=species:S:1:pos:R:3 pbc="T T T"
Br 1.7945 -1.0926 3.3135
Y 0.0000 0.8875 4.5925
Y 1.7945 3.6328 5.5524
Sr 1.7945 2.8242 1.7536
```

DOS(E_F), states/eV per cell: 2.9
Energy relative to the lowest polymorph listed for this composition, meV per atom: 90
Uncorrected energy, hartree per atom: -0.909
Formation energy without anion corrections, eV/atom: -0.3712



Entry 2:
Below is a crystal of SrZnBr relaxed with PBEsol, with properties calculated at the meta-GGA SCAN level.

```
3
Lattice="3.8649 0.0386 0.0006 -0.0376 3.8649 0.0006 -1.9127 -1.9508 6.0549" Properties=species:S:1:pos:R:3 pbc="T T T"
Br 0.0009 0.0009 0.3571
Zn -0.0005 -0.0006 3.7667
Sr 1.9142 1.9524 1.9322
```

DOS(E_F), states/eV per cell: 1.5
Energy relative to the lowest polymorph listed for this composition, meV per atom: 0
Uncorrected energy, hartree per atom: -0.707
Formation energy without anion corrections, eV/atom: -0.8216



Entry 3:
Below is a crystal of Sr4ZnBr relaxed with PBEsol, with properties calculated at the meta-GGA SCAN level.

```
6
Lattice="-4.0021 6.0852 0.6945 -7.3017 -0.3725 -0.2748 -3.9501 1.1091 6.0577" Properties=species:S:1:pos:R:3 pbc="T T T"
Sr -7.6949 3.1140 5.4484
Sr -9.3636 2.3764 2.2957
Sr -7.7208 5.5914 2.7783
Sr -5.7283 2.5618 2.4325
Br 0.0000 0.0000 0.0000
Zn -11.4404 5.1164 4.8581
```

DOS(E_F), states/eV per cell: 7.4
Uncorrected energy, hartree per atom: -0.738
Formation energy without anion corrections, eV/atom: 0.2631



Entry 4:
Below is a crystal of SrZnBr relaxed with PBEsol, with properties calculated at the meta-GGA SCAN level.

```
3
Lattice="5.1050 0.0000 0.0000 2.5525 4.4211 0.0000 2.5525 1.4737 4.1682" Properties=species:S:1:pos:R:3 pbc="T T T"
Zn 2.5525 1.4737 1.0421
Sr 5.1050 2.9474 2.0841
Br 0.0000 0.0000 0.0000
```

DOS(E_F), states/eV per cell: 1.5
Energy relative to the lowest polymorph listed for this composition, meV per atom: 335
Uncorrected energy, hartree per atom: -0.695
Formation energy without anion corrections, eV/atom: -0.4862



Entry 5:
Below is a crystal of SrZr2Br relaxed with PBEsol, with properties calculated at the meta-GGA SCAN level.

```
4
Lattice="-2.3721 -0.0584 2.3065 0.0029 -2.3206 -2.3590 6.1300 -6.2400 6.1461" Properties=species:S:1:pos:R:3 pbc="T T T"
Br 1.8805 -4.3095 3.0468
Zr 1.7606 -1.7922 1.7653
Zr 4.3694 -4.4478 4.3809
Sr -1.1846 -1.1895 -0.0262
```

DOS(E_F), states/eV per cell: 3.8
Energy relative to the lowest polymorph listed for this composition, meV per atom: 327
Uncorrected energy, hartree per atom: -0.941
Formation energy without anion corrections, eV/atom: 0.1880



Entry 6:
Below is a crystal of SrZr2Br relaxed with PBEsol, with properties calculated at the meta-GGA SCAN level.

```
4
Lattice="3.3125 0.0000 0.0000 0.0000 5.7160 0.0000 0.0000 -2.8580 5.7524" Properties=species:S:1:pos:R:3 pbc="T T T"
Zr 0.0000 1.4290 2.8762
Zr 0.0000 -1.4290 2.8762
Sr 1.6563 2.8580 0.0000
Br 1.6563 0.0000 0.0000
```

DOS(E_F), states/eV per cell: 4.8
Energy relative to the lowest polymorph listed for this composition, meV per atom: 480
Uncorrected energy, hartree per atom: -0.935
Formation energy without anion corrections, eV/atom: 0.3406



Entry 7:
Below is a crystal of SrZrBr relaxed with PBEsol, with properties calculated at the meta-GGA SCAN level.

```
3
Lattice="-4.5867 -1.4593 2.4815 -4.0864 -2.0901 -2.8736 -1.2579 -5.2433 0.5001" Properties=species:S:1:pos:R:3 pbc="T T T"
Sr -7.4483 -6.5945 0.0810
Zr 0.0000 0.0000 0.0000
Br -4.9655 -4.3964 0.0540
```

DOS(E_F), states/eV per cell: 3.3
Uncorrected energy, hartree per atom: -0.866
Formation energy without anion corrections, eV/atom: 0.5664



Entry 8:
Below is a crystal of SrZr2Br relaxed with PBEsol, with properties calculated at the meta-GGA SCAN level.

```
4
Lattice="3.3336 0.0000 0.0000 0.0000 5.6641 0.0000 0.0000 0.0000 5.9754" Properties=species:S:1:pos:R:3 pbc="T T T"
Zr 0.0000 1.3261 0.0000
Zr 0.0000 4.3380 0.0000
Sr 1.6668 0.0000 2.9877
Br 1.6668 2.8320 2.9877
```

DOS(E_F), states/eV per cell: 4.9
Energy relative to the lowest polymorph listed for this composition, meV per atom: 424
Uncorrected energy, hartree per atom: -0.937
Formation energy without anion corrections, eV/atom: 0.2850



Please write out number 3 again, unchanged.
Below is a crystal of Sr4ZnBr relaxed with PBEsol, with properties calculated at the meta-GGA SCAN level.

```
6
Lattice="-4.0021 6.0852 0.6945 -7.3017 -0.3725 -0.2748 -3.9501 1.1091 6.0577" Properties=species:S:1:pos:R:3 pbc="T T T"
Sr -7.6949 3.1140 5.4484
Sr -9.3636 2.3764 2.2957
Sr -7.7208 5.5914 2.7783
Sr -5.7283 2.5618 2.4325
Br 0.0000 0.0000 0.0000
Zn -11.4404 5.1164 4.8581
```

DOS(E_F), states/eV per cell: 7.4
Uncorrected energy, hartree per atom: -0.738
Formation energy without anion corrections, eV/atom: 0.2631



Q: Among the records above, which one has the highest uncorrected energy?
A: number 4



Q: formation energy without anion corrections of number 7 (SrZrBr)?
A: 0.5664 eV/atom



Q: Number 6 is which compound?
A: SrZr2Br